Compound: Rb2MnH6
Source: Alexandria via LeMat-Bulk
Functional: PBE
Structure: optimized geometry

Summary:
Uncorrected energy (eV/atom): -3.5660
Total magnetization (μB per formula unit): 3.00
Crystal system: hexagonal
Fermi-level density of states (states/eV/f.u.): 0.0

```
Rb2MnH6
1.0
-1.711 2.388 -5.168
1.629 -5.712 0.240
-8.871 -2.454 1.803
H Mn Rb
12 2 4
Cartesian
-7.913 -3.699 -2.508
-6.591 -0.827 -1.619
-6.001 -2.896 -1.532
-2.106 -5.037 -0.152
-7.877 -2.262 -0.378
-6.620 -2.031 -3.404
-2.845 -4.005 -2.387
-0.669 -4.482 -1.850
-8.617 -1.229 -2.612
-0.639 -3.278 -0.065
-2.810 -2.568 -0.256
-1.259 -2.413 -1.937
-7.409 -2.196 -1.981
-1.861 -3.669 -1.079
-7.184 -5.141 0.003
-3.861 -1.215 -2.702
-5.336 -1.476 1.084
-0.900 -0.249 0.183
```

---

Compound: K3Ca2HfTe6
Source: Alexandria via LeMat-Bulk
Functional: PBE
Structure: optimized geometry

Summary:
Uncorrected energy (eV/atom): -4.1597
E_form (uncorrected) (eV per atom): -1.151
Total magnetization (μB per formula unit): 0.00
Crystal system: monoclinic
Fermi-level density of states (states/eV/f.u.): 7.8

```
K3Ca2HfTe6
1.0
-4.923 -5.414 2.495
6.634 -2.073 -3.384
3.184 2.490 7.675
Te K Ca Hf
6 3 2 1
Cartesian
5.645 -3.323 4.495
2.932 0.191 5.872
2.824 -0.641 0.473
1.964 -5.188 0.913
-0.750 -1.674 2.290
2.071 -4.355 6.313
-1.332 -3.591 5.315
2.448 -2.498 3.393
6.227 -1.406 1.470
-1.063 -4.298 0.531
2.774 -3.189 -1.421
0.000 0.000 0.000
```

---

Compound: Pm2Pr8Sm3
Source: Alexandria via LeMat-Bulk
Functional: PBE
Structure: optimized geometry

Summary:
Uncorrected energy (eV/atom): -4.5981
Total magnetization (μB per formula unit): 0.00
ΔE_f (eV/atom): 0.163
E above lowest polymorph (meV/atom): 0.0
Crystal system: monoclinic
Fermi-level density of states (states/eV/f.u.): 17.6

```
Pm2Pr8Sm3
1.0
-7.927 -1.437 -5.695
-6.940 -7.012 0.072
-3.064 3.788 4.187
Sm Pr Pm
3 8 2
Cartesian
-7.130 -5.940 -1.037
-7.738 -2.509 -4.586
-1.532 1.894 2.093
-5.715 -2.982 1.239
-3.117 -0.952 -0.387
-7.763 -2.841 -1.417
-12.217 -1.679 -2.675
-6.263 0.113 -1.962
-11.669 -4.774 0.526
-10.168 -1.820 -0.019
-14.814 -3.708 -1.049
-10.382 -4.909 -2.968
-7.549 0.248 1.532
```

---

Compound: Ti3MnPd
Source: Alexandria via LeMat-Bulk
Functional: PBE
Structure: optimized geometry

Summary:
Uncorrected energy (eV/atom): -7.8336
Total magnetization (μB per formula unit): 1.07
ΔE_f (eV/atom): -0.224
E above lowest polymorph (meV/atom): 0.0
Crystal system: cubic
Fermi-level density of states (states/eV/f.u.): 3.9

```
Ti3MnPd
1.0
6.122 0.000 0.000
0.000 6.122 0.000
0.000 0.000 6.122
Ti Mn Pd
9 3 3
Cartesian
4.688 1.434 4.688
3.061 3.061 3.061
4.688 4.688 1.434
1.434 1.434 4.688
4.688 1.434 1.434
1.434 4.688 1.434
1.434 1.434 1.434
1.434 4.688 4.688
4.688 4.688 4.688
0.000 3.061 0.000
0.000 0.000 3.061
3.061 0.000 0.000
3.061 0.000 3.061
3.061 3.061 0.000
0.000 3.061 3.061
```

---

Compound: LaZnIr2I
Source: Alexandria via LeMat-Bulk
Functional: PBE
Structure: optimized geometry

Summary:
Uncorrected energy (eV/atom): -3.8423
E_form (uncorrected) (eV per atom): 1.252
Total magnetization (μB per formula unit): 0.24
Crystal system: tetragonal
Fermi-level density of states (states/eV/f.u.): 7.6

```
LaZnIr2I
1.0
5.032 0.000 0.000
0.000 6.369 0.000
0.000 0.000 5.032
Ir Zn La I
2 1 1 1
Cartesian
0.000 0.000 2.516
2.516 0.000 0.000
2.516 3.185 2.516
0.000 0.000 0.000
0.000 3.185 0.000
```

---

Compound: BaPIr3
Source: Alexandria via LeMat-Bulk
Functional: PBE
Structure: optimized geometry

Summary:
Uncorrected energy (eV/atom): -6.6638
Total magnetization (μB per formula unit): 0.00
ΔE_f (eV/atom): 0.119
E above lowest polymorph (meV/atom): 0.0
Crystal system: cubic
Fermi-level density of states (states/eV/f.u.): 1.1

```
BaPIr3
1.0
4.616 0.000 0.000
0.000 4.616 0.000
0.000 0.000 4.616
Ir P Ba
3 1 1
Cartesian
0.000 0.000 2.308
0.000 2.308 0.000
2.308 0.000 0.000
0.000 0.000 0.000
2.308 2.308 2.308
```